1.
LiAcInCu | PBE | relaxed

Values from the calculation:
Calculated formation energy   -0.237 eV per atom
DFT total energy   -3.451 eV per atom

a b c (Å): 5.0647 5.0647 5.0647
angles (deg): 60.00 60.00 60.00
Closest atoms and distances in Å follow each position.
Atoms (fractional coordinates):
Li 0.0000 0.0000 0.0000  4 Ac 3.10, 4 In 3.10
Ac 0.7500 0.7500 0.7500  4 Cu 3.10, 4 Li 3.10
In 0.2500 0.2500 0.2500  4 Li 3.10, 4 Cu 3.10
Cu 0.5000 0.5000 0.5000  4 Ac 3.10, 4 In 3.10



2.
LiAc2InCu6 | PBE | relaxed

Values from the calculation:
Calculated formation energy   -0.079 eV per atom
DFT total energy   -3.823 eV per atom

a b c (Å): 6.6096 6.6096 8.5743
angles (deg): 127.31 127.31 47.92
Closest atoms and distances in Å follow each position.
Atoms (fractional coordinates):
Li 0.0000 0.0000 0.0000  6 Cu 2.47-2.63
Ac 0.2515 0.2515 0.7037  11 Cu 3.19-3.58, 2 In 3.53, 2 Li 3.54
Ac 0.7485 0.7485 0.2963  11 Cu 3.19-3.58, 2 In 3.53, 2 Li 3.54
In 0.5000 0.5000 0.5000  6 Cu 2.62-2.80
Cu 0.2097 0.7292 0.2149  3 Cu 2.46-2.58, 1 Li 2.47, 1 In 2.62
Cu 0.2486 0.2486 0.0734  4 Cu 2.46-2.50, 1 Li 2.63
Cu 0.2708 0.7903 0.7851  3 Cu 2.46-2.58, 1 Li 2.47, 1 In 2.62
Cu 0.7292 0.2097 0.2149  3 Cu 2.46-2.58, 1 Li 2.47, 1 In 2.62
Cu 0.7514 0.7514 0.9266  4 Cu 2.46-2.50, 1 Li 2.63
Cu 0.7903 0.2708 0.7851  3 Cu 2.46-2.58, 1 Li 2.47, 1 In 2.62



3.
Ac2MgInCu6 | PBE | relaxed

Values from the calculation:
Calculated formation energy   -0.091 eV per atom
DFT total energy   -3.804 eV per atom

a b c (Å): 5.3971 6.7770 6.9065
angles (deg): 79.14 67.11 66.78
Closest atoms and distances in Å follow each position.
Atoms (fractional coordinates):
Ac 0.2465 0.2026 0.3023  11 Cu 3.27-3.59, 2 In 3.53-3.54, 2 Mg 3.56-3.59
Ac 0.7535 0.7974 0.6977  11 Cu 3.27-3.59, 2 In 3.53-3.54, 2 Mg 3.56-3.59
Mg 0.0000 0.0000 0.0000  6 Cu 2.55-2.69
In 0.5000 0.5000 0.5000  6 Cu 2.60-2.77
Cu 0.2136 0.2809 0.7832  4 Cu 2.48-2.73, 1 Mg 2.55, 1 In 2.60
Cu 0.2492 0.5773 0.9261  4 Cu 2.47-2.50, 1 Mg 2.69
Cu 0.2799 0.7191 0.2163  4 Cu 2.47-2.73, 1 Mg 2.56, 1 In 2.60
Cu 0.7201 0.2809 0.7837  4 Cu 2.47-2.73, 1 Mg 2.56, 1 In 2.60
Cu 0.7508 0.4227 0.0739  4 Cu 2.47-2.50, 1 Mg 2.69
Cu 0.7864 0.7191 0.2168  4 Cu 2.48-2.73, 1 Mg 2.55, 1 In 2.60



4.
Ac2MgIn4Cu3 | PBE | relaxed

Values from the calculation:
Calculated formation energy   -0.273 eV per atom
DFT total energy   -3.578 eV per atom

a b c (Å): 4.6305 4.6305 11.2977
angles (deg): 90.00 90.00 90.00
Closest atoms and distances in Å follow each position.
Atoms (fractional coordinates):
Ac 0.0000 0.5000 0.2477  8 In 3.51-3.63, 6 Cu 3.54-3.67, 2 Mg 3.67
Ac 0.5000 0.0000 0.7523  8 In 3.51-3.63, 6 Cu 3.54-3.67, 2 Mg 3.67
Mg 0.0000 0.0000 0.5000  4 In 2.80
In 0.0000 0.0000 0.0000  4 Cu 2.73
In 0.0000 0.5000 0.6398  3 Cu 2.62-2.80, 2 Mg 2.80
In 0.5000 0.0000 0.3602  3 Cu 2.62-2.80, 2 Mg 2.80
In 0.5000 0.5000 0.0000  4 Cu 2.73
Cu 0.0000 0.5000 0.8718  5 In 2.62-2.73
Cu 0.5000 0.0000 0.1282  5 In 2.62-2.73
Cu 0.5000 0.5000 0.5000  4 In 2.80



5.
AcMgInCu | PBE | relaxed

Values from the calculation:
Calculated formation energy   -0.158 eV per atom
DFT total energy   -3.293 eV per atom

a b c (Å): 5.2700 5.2700 5.2700
angles (deg): 60.00 60.00 60.00
Closest atoms and distances in Å follow each position.
Atoms (fractional coordinates):
Ac 0.0000 0.0000 0.0000  4 Cu 3.23, 4 In 3.23
Mg 0.5000 0.5000 0.5000  4 Cu 3.23, 4 In 3.23
In 0.2500 0.2500 0.2500  4 Ac 3.23, 4 Mg 3.23
Cu 0.7500 0.7500 0.7500  4 Ac 3.23, 4 Mg 3.23



6.
AcMg2In2Cu2 | PBE | relaxed

Values from the calculation:
Calculated formation energy   -0.189 eV per atom
DFT total energy   -3.185 eV per atom

a b c (Å): 9.3680 9.3680 9.3680
angles (deg): 28.12 28.12 28.12
Closest atoms and distances in Å follow each position.
Atoms (fractional coordinates):
Ac 0.0000 0.0000 0.0000  6 In 3.43, 2 Mg 3.76
Mg 0.1393 0.1393 0.1393  3 Cu 2.70, 3 Mg 3.02
Mg 0.8607 0.8607 0.8607  3 Cu 2.70, 3 Mg 3.02
In 0.2516 0.2516 0.2516  3 Cu 2.79, 4 Mg 3.03-3.05
In 0.7484 0.7484 0.7484  3 Cu 2.79, 4 Mg 3.03-3.05
Cu 0.4495 0.4495 0.4495  3 Mg 2.70, 1 Cu 2.73, 3 In 2.79
Cu 0.5505 0.5505 0.5505  3 Mg 2.70, 1 Cu 2.73, 3 In 2.79



7.
AcMg2In2Cu | PBE | relaxed

Values from the calculation:
Calculated formation energy   0.176 eV per atom
DFT total energy   -2.636 eV per atom

a b c (Å): 7.2044 7.2044 7.2044
angles (deg): 135.98 135.98 64.01
Closest atoms and distances in Å follow each position.
Atoms (fractional coordinates):
Ac 0.0000 0.0000 0.0000  2 In 3.67, 4 Cu 3.82, 8 Mg 4.08
Mg 0.2500 0.7500 0.5000  4 In 2.77
Mg 0.7500 0.2500 0.5000  4 In 2.77
In 0.3005 0.3005 0.0000  1 Cu 2.44
In 0.6995 0.6995 0.0000  1 Cu 2.44
Cu 0.5000 0.5000 0.0000  2 In 2.44



8.
NaAcInCu | PBE | relaxed

Values from the calculation:
Calculated formation energy   -0.081 eV per atom
DFT total energy   -3.146 eV per atom

a b c (Å): 5.2002 5.2002 5.2002
angles (deg): 60.00 60.00 60.00
Closest atoms and distances in Å follow each position.
Atoms (fractional coordinates):
Na 0.0000 0.0000 0.0000  4 Ac 3.18, 4 In 3.18
Ac 0.7500 0.7500 0.7500  4 Na 3.18, 4 Cu 3.18
In 0.2500 0.2500 0.2500  4 Cu 3.18, 4 Na 3.18
Cu 0.5000 0.5000 0.5000  4 Ac 3.18, 4 In 3.18



9.
Ac2InCu12Ni3 | PBE | relaxed

Values from the calculation:
Calculated formation energy   0.214 eV per atom
DFT total energy   -4.089 eV per atom

a b c (Å): 9.8347 9.8347 9.8347
angles (deg): 36.75 36.75 36.75
Closest atoms and distances in Å follow each position.
Atoms (fractional coordinates):
Ac 0.1447 0.1447 0.1447  12 Cu 3.12-3.48
Ac 0.8553 0.8553 0.8553  12 Cu 3.12-3.48
In 0.5000 0.5000 0.5000  6 Cu 2.63
Cu 0.0864 0.0864 0.6975  2 Ni 2.34, 4 Cu 2.41-2.47
Cu 0.0864 0.6975 0.0864  2 Ni 2.34, 4 Cu 2.41-2.47
Cu 0.1410 0.5619 0.5619  1 Ni 2.44, 4 Cu 2.47-2.61, 1 In 2.63
Cu 0.3025 0.9136 0.9136  2 Ni 2.34, 4 Cu 2.41-2.47
Cu 0.4381 0.4381 0.8590  1 Ni 2.44, 4 Cu 2.47-2.61, 1 In 2.63
Cu 0.4381 0.8590 0.4381  1 Ni 2.44, 4 Cu 2.47-2.61, 1 In 2.63
Cu 0.5619 0.1410 0.5619  1 Ni 2.44, 4 Cu 2.47-2.61, 1 In 2.63
Cu 0.5619 0.5619 0.1410  1 Ni 2.44, 4 Cu 2.47-2.61, 1 In 2.63
Cu 0.6975 0.0864 0.0864  2 Ni 2.34, 4 Cu 2.41-2.47
Cu 0.8590 0.4381 0.4381  1 Ni 2.44, 4 Cu 2.47-2.61, 1 In 2.63
Cu 0.9136 0.3025 0.9136  2 Ni 2.34, 4 Cu 2.41-2.47
Cu 0.9136 0.9136 0.3025  2 Ni 2.34, 4 Cu 2.41-2.47
Ni 0.0000 0.5000 0.5000  6 Cu 2.34-2.44
Ni 0.5000 0.0000 0.5000  6 Cu 2.34-2.44
Ni 0.5000 0.5000 0.0000  6 Cu 2.34-2.44



10.
AcInCu2Ni | PBE | relaxed

Values from the calculation:
Calculated formation energy   -0.200 eV per atom
DFT total energy   -4.364 eV per atom

a b c (Å): 6.5132 6.5132 6.5132
angles (deg): 143.78 142.11 53.42
Closest atoms and distances in Å follow each position.
Atoms (fractional coordinates):
Ac 0.0000 0.0000 0.0000  4 Ni 3.14, 6 Cu 3.22-3.41
In 0.2558 0.7558 0.5000  2 Ni 2.64, 6 Cu 2.68-2.93
Cu 0.6147 0.6147 0.0000  1 Ni 2.48, 2 Cu 2.67, 2 In 2.68
Cu 0.7639 0.2639 0.5000  2 Ni 2.65, 2 Cu 2.67, 4 In 2.93
Ni 0.4013 0.4013 0.0000  3 Cu 2.48-2.65, 2 In 2.64



11.
Ac3InCu2O9 | PBE | relaxed

Values from the calculation:
Uncorrected formation energy   -2.076 eV per atom
DFT total energy   -6.602 eV per atom

a b c (Å): 5.6918 5.6918 7.0183
angles (deg): 90.00 90.00 120.00
Closest atoms and distances in Å follow each position.
Atoms (fractional coordinates):
Ac 0.0000 0.0000 0.0000  12 O 2.81-2.85
Ac 0.3333 0.6667 0.6830  12 O 2.77-3.01
Ac 0.6667 0.3333 0.3170  12 O 2.77-3.01
In 0.0000 0.0000 0.5000  6 O 2.10
Cu 0.3333 0.6667 0.1607  6 O 1.96-1.99
Cu 0.6667 0.3333 0.8393  6 O 1.96-1.99
O 0.0000 0.5000 0.0000  2 Cu 1.99
O 0.1707 0.3413 0.3205  1 Cu 1.96, 1 In 2.10
O 0.1707 0.8293 0.3205  1 Cu 1.96, 1 In 2.10
O 0.3413 0.1707 0.6795  1 Cu 1.96, 1 In 2.10
O 0.5000 0.0000 0.0000  2 Cu 1.99
O 0.5000 0.5000 0.0000  2 Cu 1.99
O 0.6587 0.8293 0.3205  1 Cu 1.96, 1 In 2.10
O 0.8293 0.1707 0.6795  1 Cu 1.96, 1 In 2.10
O 0.8293 0.6587 0.6795  1 Cu 1.96, 1 In 2.10



12.
Ac2InCu2O6 | PBE | relaxed

Values from the calculation:
Uncorrected formation energy   -1.694 eV per atom
DFT total energy   -6.139 eV per atom

a b c (Å): 5.9514 5.9514 6.1549
angles (deg): 90.00 90.00 120.00
Closest atoms and distances in Å follow each position.
Atoms (fractional coordinates):
Ac 0.3333 0.6667 0.2933  3 O 2.35
Ac 0.6667 0.3333 0.7067  3 O 2.35
In 0.0000 0.0000 0.0000  6 O 2.22
Cu 0.3333 0.6667 0.7961  3 O 1.89
Cu 0.6667 0.3333 0.2039  3 O 1.89
O 0.0467 0.3245 0.7898  1 Cu 1.89
O 0.2778 0.9533 0.7898  1 Cu 1.89
O 0.3245 0.2778 0.2102  1 Cu 1.89
O 0.6755 0.7222 0.7898  1 Cu 1.89
O 0.7222 0.0467 0.2102  1 Cu 1.89
O 0.9533 0.6755 0.2102  1 Cu 1.89